Entry 1:
Ba2Bi3Au2, optimized geometry, DFT PBE; Fermi-level density of states = 2.2 states/eV/f.u.; ΔE_f = -0.59 eV per atom
1.0
5.981 -2.453 0.000
5.981 2.453 0.000
-2.932 0.000 7.636
Ba Bi Au
2 3 2
Cartesian
0.861 0.000 2.246
8.169 0.000 5.391
4.459 0.000 0.406
4.515 0.000 3.818
4.571 0.000 7.230
-0.297 0.000 5.634
9.328 0.000 2.002

---

Entry 2:
Ho3Tm3Sc2, optimized geometry, DFT PBE; Fermi-level density of states = 17.0 states/eV/f.u.; ΔE_f = 0.09 eV per atom
1.0
8.366 -2.680 0.000
8.366 2.680 0.000
-1.768 0.000 5.235
Ho Tm Sc
3 3 2
Cartesian
0.000 0.000 0.000
1.136 0.000 3.564
13.828 0.000 1.671
4.456 0.000 4.700
7.482 0.000 2.617
10.508 0.000 0.535
3.643 0.000 1.587
11.321 0.000 3.648

---

Entry 3:
Cs2BF, optimized geometry, DFT PBE; Fermi-level density of states = 2.7 states/eV/f.u.
1.0
-4.104 4.104 4.834
4.104 -4.104 4.834
4.104 4.104 -4.834
Cs B F
4 2 2
Cartesian
2.052 1.539 -1.209
2.565 -2.052 6.043
2.052 2.565 3.626
1.539 6.157 1.209
4.104 0.000 2.417
0.000 0.000 4.834
0.000 0.000 0.000
0.000 4.104 2.417

---

Entry 4:
Sb2C3N6, optimized geometry, DFT PBE; Fermi-level density of states = 0.0 states/eV/f.u.
1.0
3.440 1.986 9.680
-3.440 1.986 9.680
0.000 -3.972 9.680
Sb C N
4 6 12
Cartesian
0.000 0.000 4.785
0.000 0.000 9.735
0.000 0.000 19.305
0.000 0.000 24.255
-2.564 -0.469 12.100
-0.876 -2.455 16.940
1.688 -1.986 12.100
-1.688 1.986 16.940
0.876 2.455 12.100
2.564 0.469 16.940
-1.113 -1.411 8.468
-2.775 -0.317 13.308
-1.113 -2.561 15.732
-0.665 1.670 8.468
-1.778 0.259 20.572
-1.662 2.245 15.732
1.662 -2.245 13.308
1.778 -0.259 8.468
0.665 -1.670 20.572
1.113 2.561 13.308
2.775 0.317 15.732
1.113 1.411 20.572

---

Entry 5:
SmIn2Rh, optimized geometry, DFT PBE; Fermi-level density of states = 3.4 states/eV/f.u.; ΔE_f = -0.41 eV per atom
1.0
3.396 0.000 0.000
0.000 3.396 0.000
0.000 0.000 7.608
Sm In Rh
1 2 1
Cartesian
0.000 0.000 0.000
1.698 1.698 2.286
1.698 1.698 5.322
0.000 0.000 3.804

---

Entry 6:
Na2CaSbTe, optimized geometry, DFT PBE; Fermi-level density of states = 2.8 states/eV/f.u.
1.0
5.490 0.000 0.000
0.000 5.490 0.000
0.000 0.000 6.555
Na Ca Sb Te
2 1 1 1
Cartesian
0.000 2.745 0.000
2.745 0.000 0.000
0.000 0.000 3.278
2.745 2.745 0.000
2.745 2.745 3.278

---

Entry 7:
PuSnBi, optimized geometry, DFT PBE; Fermi-level density of states = 4.2 states/eV/f.u.; ΔE_f = 0.07 eV per atom
1.0
8.198 0.000 0.000
0.000 3.495 0.000
0.000 0.000 10.852
Pu Sn Bi
4 4 4
Cartesian
0.474 0.874 0.593
3.625 2.621 6.019
4.573 0.874 4.833
7.724 2.621 10.259
1.171 0.874 4.650
2.928 2.621 10.076
5.270 0.874 0.776
7.027 2.621 6.202
1.265 0.874 7.960
2.834 2.621 2.534
5.364 0.874 8.317
6.934 2.621 2.891

---

Entry 8:
NaTaFe3, optimized geometry, DFT PBE; Fermi-level density of states = 5.7 states/eV/f.u.; ΔE_f = 1.31 eV per atom
1.0
4.649 0.000 0.000
0.000 4.649 0.000
0.000 0.000 4.649
Na Ta Fe
1 1 3
Cartesian
0.000 0.000 0.000
2.325 2.325 2.325
0.000 2.325 2.325
2.325 0.000 2.325
2.325 2.325 0.000

---

Entry 9:
AlInSi, optimized geometry, DFT PBE; Fermi-level density of states = 1.2 states/eV/f.u.
1.0
-1.472 1.834 5.527
1.472 -1.834 5.527
1.472 1.834 -5.527
Al In Si
1 1 1
Cartesian
0.000 0.000 0.000
0.000 0.000 7.720
0.000 0.000 4.284

---

Entry 10:
Na3Cu5I12, optimized geometry, DFT PBE; Fermi-level density of states = 16.1 states/eV/f.u.
1.0
-8.790 8.790 8.790
8.790 -8.790 8.790
8.790 8.790 -8.790
Na Cu I
12 20 48
Cartesian
4.395 2.197 0.000
8.790 4.395 -2.197
2.197 0.000 4.395
10.987 0.000 4.395
0.000 4.395 2.197
4.395 -2.197 8.790
4.395 10.987 0.000
8.790 4.395 6.592
-2.197 8.790 4.395
6.592 8.790 4.395
0.000 4.395 10.987
4.395 6.592 8.790
0.000 0.000 0.000
4.395 4.395 -4.395
4.395 -4.395 4.395
8.790 0.000 0.000
13.184 2.197 0.000
8.790 -4.395 6.592
6.592 8.790 -4.395
6.592 0.000 4.395
4.395 6.592 0.000
8.790 4.395 2.197
-4.395 4.395 4.395
0.000 8.790 0.000
0.000 0.000 8.790
4.395 4.395 4.395
0.000 4.395 6.592
4.395 2.197 8.790
2.197 8.790 4.395
2.197 0.000 13.184
0.000 13.184 2.197
-4.395 6.592 8.790
2.635 -0.485 0.819
10.549 5.214 -4.880
11.425 0.485 0.819
10.549 -3.576 4.880
8.305 -0.819 2.635
13.669 -1.760 3.576
0.819 2.635 -0.485
12.366 3.910 -1.760
5.214 4.880 -1.760
7.971 2.635 0.485
-0.485 0.819 2.635
4.880 -1.760 5.214
8.305 7.971 -2.635
4.880 1.760 3.576
5.214 -4.880 10.549
7.971 -2.635 8.305
3.576 4.880 1.760
9.608 6.154 0.485
4.880 10.549 -3.576
8.305 0.819 6.154
2.635 8.305 -0.819
10.549 3.576 3.910
1.760 3.576 4.880
2.635 0.485 7.971
6.154 8.305 0.819
7.030 5.214 3.910
-1.760 5.214 4.880
6.154 0.485 9.608
0.485 7.971 2.635
3.910 -1.760 12.366
-0.819 2.635 8.305
5.214 3.910 7.030
0.819 11.425 0.485
3.576 13.669 -1.760
3.910 7.030 5.214
0.485 0.819 11.425
3.910 10.549 3.576
9.274 7.971 6.154
0.819 6.154 8.305
3.576 3.910 10.549
-3.576 4.880 10.549
7.971 6.154 9.274
-4.880 10.549 5.214
0.485 9.608 6.154
-1.760 12.366 3.910
-2.635 8.305 7.971
-1.760 3.576 13.669
6.154 9.274 7.971

---

Entry 11:
Tl2OsN, optimized geometry, DFT PBE; Fermi-level density of states = 3.2 states/eV/f.u.
1.0
-3.449 3.449 3.057
3.449 -3.449 3.057
3.449 3.449 -3.057
Tl Os N
4 2 2
Cartesian
5.173 1.360 -0.764
1.360 1.724 0.764
-1.724 2.089 2.293
2.089 1.724 3.822
3.449 0.000 1.529
0.000 0.000 3.057
0.000 0.000 0.000
0.000 3.449 1.529

---

Entry 12:
Rb2NaTl6Pd, optimized geometry, DFT PBE; Fermi-level density of states = 6.5 states/eV/f.u.; ΔE_f = -0.07 eV per atom
1.0
3.881 2.241 13.644
-3.881 2.241 13.644
0.000 -4.481 13.644
Rb Na Tl Pd
4 2 12 2
Cartesian
0.000 0.000 4.120
0.000 0.000 11.233
0.000 0.000 29.700
0.000 0.000 36.813
0.000 0.000 17.449
0.000 0.000 23.484
-2.287 -1.320 19.448
0.000 -1.877 14.726
-1.626 0.939 14.726
0.000 -2.640 21.485
-2.287 1.320 21.485
-1.626 -0.939 26.207
1.626 0.939 14.726
2.287 -1.320 19.448
0.000 2.640 19.448
1.626 -0.939 26.207
0.000 1.877 26.207
2.287 1.320 21.485
0.000 0.000 0.000
0.000 0.000 20.467

---

Entry 13:
Na2CeOsO6, optimized geometry, DFT PBE; Fermi-level density of states = 4.2 states/eV/f.u.
1.0
5.675 0.000 0.000
0.000 5.794 0.000
-5.626 0.000 8.115
Na Ce Os O
4 2 2 12
Cartesian
-0.037 0.206 2.037
-2.850 2.691 6.094
2.898 3.103 2.020
0.085 5.588 6.078
2.837 0.000 0.000
0.024 2.897 4.057
-2.813 0.000 4.057
0.000 2.897 0.000
-4.593 1.312 7.727
-1.780 1.585 3.669
-4.067 3.986 7.769
-1.254 4.705 3.711
-2.315 0.152 5.919
0.498 2.745 1.861
-0.450 3.049 6.254
2.363 5.642 2.196
1.302 1.089 4.403
4.115 1.808 0.346
1.828 4.209 4.446
4.641 4.482 0.388

---

Entry 14:
BaIn2Co2, optimized geometry, DFT PBE; Fermi-level density of states = 2.6 states/eV/f.u.; ΔE_f = 0.24 eV per atom
1.0
8.037 0.000 0.000
0.000 8.037 0.000
0.000 0.000 3.100
Ba In Co
2 4 4
Cartesian
0.000 0.000 0.000
4.018 4.018 0.000
1.087 2.931 1.550
2.931 6.949 1.550
5.105 1.087 1.550
6.949 5.105 1.550
1.237 5.255 0.000
2.782 1.237 0.000
5.255 6.800 0.000
6.800 2.782 0.000

---

Entry 15:
Ca2Cd2As2P, optimized geometry, DFT PBE; Fermi-level density of states = 2.8 states/eV/f.u.; ΔE_f = -0.57 eV per atom
1.0
4.266 0.000 0.000
1.730 6.310 0.000
1.229 2.173 6.612
Ca Cd As P
2 2 2 1
Cartesian
0.897 1.694 1.273
6.328 6.789 5.339
2.693 4.530 2.137
4.533 3.952 4.475
2.391 2.291 4.030
4.835 6.191 2.583
2.998 3.155 0.000

---

Entry 16:
Pa3PtRh2, optimized geometry, DFT PBE; Fermi-level density of states = 8.7 states/eV/f.u.; ΔE_f = -0.66 eV per atom
1.0
-2.233 3.449 8.202
2.233 -3.449 8.202
2.233 3.449 -8.202
Pa Pt Rh
6 2 4
Cartesian
2.233 -1.773 5.672
2.233 1.723 0.000
0.000 1.676 2.530
2.233 1.773 5.672
0.000 1.726 8.202
0.000 5.221 2.530
0.000 0.000 5.086
0.000 0.000 11.318
0.000 0.000 0.000
2.233 0.000 3.101
0.000 3.449 0.000
0.000 3.449 5.101

---

Entry 17:
Y3Ge2Pt6, optimized geometry, DFT PBE; Fermi-level density of states = 2.6 states/eV/f.u.; ΔE_f = -0.94 eV per atom
1.0
-4.752 4.752 4.752
4.752 -4.752 4.752
4.752 4.752 -4.752
Y Ge Pt
6 4 12
Cartesian
2.777 0.000 0.000
6.728 0.000 0.000
0.000 2.777 0.000
0.000 0.000 2.777
0.000 6.728 0.000
0.000 0.000 6.728
2.376 2.376 -2.376
2.376 -2.376 2.376
-2.376 2.376 2.376
2.376 2.376 2.376
4.752 1.671 -1.671
4.752 -1.671 1.671
1.671 4.752 -1.671
3.081 3.081 0.000
3.081 0.000 3.081
1.671 -1.671 4.752
4.752 1.671 1.671
0.000 3.081 3.081
-1.671 4.752 1.671
-1.671 1.671 4.752
1.671 4.752 1.671
1.671 1.671 4.752

---

Entry 18:
Pr6InCu2, optimized geometry, DFT PBE; Fermi-level density of states = 10.1 states/eV/f.u.; ΔE_f = -0.16 eV per atom
1.0
-4.838 5.205 5.335
4.838 -5.205 5.335
4.838 5.205 -5.335
Pr In Cu
12 2 4
Cartesian
4.838 3.147 -2.804
2.727 1.937 0.000
6.950 1.937 0.000
1.918 5.205 -1.918
2.920 0.000 3.416
0.000 2.057 2.531
4.838 3.147 2.804
1.918 5.205 1.918
2.920 0.000 7.253
-2.111 3.268 5.335
2.111 3.268 5.335
0.000 2.057 8.138
0.000 0.000 0.000
0.000 0.000 5.335
4.838 0.000 1.236
0.000 3.711 0.000
0.000 6.698 0.000
0.000 5.205 4.099

---

Number 1: VASP energy -26.15 eV/f.u.. Number 2: VASP energy -39.06 eV/f.u.. Number 3: VASP energy -11.15 eV/f.u.. Number 4: VASP energy -82.66 eV/f.u.. Number 5: VASP energy -19.21 eV/f.u.. Number 6: VASP energy -12.56 eV/f.u.. Number 7: VASP energy -22.01 eV/f.u.. Number 8: VASP energy -32.00 eV/f.u.. Number 9: VASP energy -11.09 eV/f.u.. Number 10: VASP energy -50.97 eV/f.u.. Number 11: VASP energy -18.00 eV/f.u.. Number 12: VASP energy -23.38 eV/f.u.. Number 13: VASP energy -68.90 eV/f.u.. Number 14: VASP energy -20.40 eV/f.u.. Number 15: VASP energy -24.53 eV/f.u.. Number 16: VASP energy -53.20 eV/f.u.. Number 17: VASP energy -75.23 eV/f.u.. Number 18: VASP energy -41.07 eV/f.u..